This record from Alexandria via LeMat-Bulk describes crystalline Ba2SrHPb at its relaxed geometry. The functional is PBE.

extended XYZ file:
```
5
Lattice="5.513 0.000 0.000 0.000 5.513 0.000 0.000 0.000 5.582" Properties=species:S:1:pos:R:3 pbc="T T T"
Ba 0.000 2.757 0.000
Ba 2.757 0.000 0.000
Sr 0.000 0.000 2.791
H 0.000 0.000 0.000
Pb 2.757 2.757 2.791
```

## Properties
VASP energy: -2.9001 eV per atom
magnetization: 0.00 Bohr magnetons per cell

---

This record from Alexandria via LeMat-Bulk describes crystalline Hf3TiIn at its relaxed geometry. The functional is PBE.

extended XYZ file:
```
5
Lattice="5.187 0.000 0.000 0.000 5.187 0.000 0.000 0.000 5.187" Properties=species:S:1:pos:R:3 pbc="T T T"
Hf 0.000 0.000 2.594
Hf 0.000 2.594 0.000
Hf 2.594 0.000 0.000
Ti 2.594 2.594 2.594
In 0.000 0.000 0.000
```

## Properties
magnetization: 0.00 Bohr magnetons per cell
formation enthalpy at 0 K: 1.43 eV/atom

---

This record from Alexandria via LeMat-Bulk describes crystalline Nb3TcHg at its relaxed geometry. The functional is PBE.

extended XYZ file:
```
5
Lattice="4.822 0.000 0.000 0.000 4.822 0.000 0.000 0.000 4.822" Properties=species:S:1:pos:R:3 pbc="T T T"
Nb 0.000 0.000 2.411
Nb 0.000 2.411 0.000
Nb 2.411 0.000 0.000
Tc 0.000 0.000 0.000
Hg 2.411 2.411 2.411
```

## Properties
magnetization: 0.00 Bohr magnetons per cell
formation enthalpy at 0 K: 0.96 eV/atom

---

This record from Alexandria via LeMat-Bulk describes crystalline PmMgCuGe2 at its relaxed geometry. The functional is PBE.

extended XYZ file:
```
5
Lattice="-2.084 2.084 5.651 2.084 -2.084 5.651 2.084 2.084 -5.651" Properties=species:S:1:pos:R:3 pbc="T T T"
Pm 0.000 0.000 0.000
Mg 0.000 2.084 2.825
Cu 2.084 0.000 2.825
Ge 0.000 0.000 4.392
Ge 0.000 0.000 6.910
```

## Properties
magnetization: 0.00 Bohr magnetons per cell
formation enthalpy at 0 K: -0.48 eV/atom

---

This record from Alexandria via LeMat-Bulk describes crystalline AgHg2WN at its relaxed geometry. The functional is PBE.

extended XYZ file:
```
5
Lattice="5.491 0.000 0.000 0.000 5.491 0.000 0.000 0.000 3.824" Properties=species:S:1:pos:R:3 pbc="T T T"
Ag 0.000 0.000 0.000
Hg 0.000 2.746 1.912
Hg 2.746 0.000 1.912
W 2.746 2.746 1.912
N 2.746 2.746 0.000
```

## Properties
magnetization: 0.10 Bohr magnetons per cell
formation energy (no corrections): 0.638 eV/atom

---

This record from Alexandria via LeMat-Bulk describes crystalline Pu2NiRh at its relaxed geometry. The functional is PBE.

extended XYZ file:
```
8
Lattice="3.855 -4.064 0.000 3.855 4.064 0.000 -3.849 0.000 4.334" Properties=species:S:1:pos:R:3 pbc="T T T"
Pu 3.855 2.570 0.000
Pu -0.002 0.000 1.820
Pu 3.864 0.000 2.513
Pu 3.855 -2.570 0.000
Ni 2.625 0.000 0.003
Ni 1.238 0.000 4.331
Rh 1.931 2.031 2.167
Rh 1.931 -2.031 2.167
```

## Properties
magnetization: 0.84 Bohr magnetons per cell
formation enthalpy at 0 K: 0.00 eV/atom

---

This record from Alexandria via LeMat-Bulk describes crystalline AgRh3Cl at its relaxed geometry. The functional is PBE.

extended XYZ file:
```
5
Lattice="4.405 0.000 0.000 0.000 4.405 0.000 0.000 0.000 4.405" Properties=species:S:1:pos:R:3 pbc="T T T"
Ag 0.000 0.000 0.000
Rh 0.000 2.203 2.203
Rh 2.203 0.000 2.203
Rh 2.203 2.203 0.000
Cl 2.203 2.203 2.203
```

## Properties
magnetization: 0.00 Bohr magnetons per cell
formation energy (no corrections): 0.715 eV/atom

---

This record from Alexandria via LeMat-Bulk describes crystalline Zn2InIr at its relaxed geometry. The functional is PBE.

extended XYZ file:
```
4
Lattice="3.317 0.000 0.000 0.000 3.317 0.000 0.000 0.000 5.979" Properties=species:S:1:pos:R:3 pbc="T T T"
Zn 0.000 0.000 0.000
Zn 1.658 1.658 1.333
In 0.000 0.000 3.066
Ir 1.658 1.658 4.682
```

## Properties
magnetization: 0.00 Bohr magnetons per cell
formation enthalpy at 0 K: -0.03 eV/atom

---

This record from Alexandria via LeMat-Bulk describes crystalline Tb2Y3Ho4 at its relaxed geometry. The functional is PBE.

extended XYZ file:
```
18
Lattice="8.084 -5.779 0.000 8.084 5.779 0.000 -0.628 0.000 6.095" Properties=species:S:1:pos:R:3 pbc="T T T"
Tb 5.705 4.132 4.146
Tb 9.522 4.132 4.997
Tb 6.019 -4.132 1.098
Tb 9.836 -4.132 1.949
Y 7.927 4.650 1.524
Y 5.136 1.129 2.524
Y 4.822 -1.129 5.572
Y 10.719 1.129 0.524
Y 10.405 -1.129 3.571
Y 7.614 -4.650 4.571
Ho 2.922 1.630 5.169
Ho 6.715 1.635 6.007
Ho 3.236 -1.630 2.122
Ho 8.512 1.635 3.136
Ho 7.028 -1.635 2.959
Ho 12.305 1.630 3.974
Ho 8.826 -1.635 0.088
Ho 12.619 -1.630 0.926
```

## Properties
magnetization: 0.00 Bohr magnetons per cell
formation enthalpy at 0 K: 0.10 eV/atom